No. 1
A plane-wave DFT calculation with GGA-PBE was carried out for a relaxed structure of CdCoSe2.

The value obtained for the total energy is -15.3 eV/f.u.

The space group is P4mm (No. 99) and the conventional cell measures 3.581, 3.581 and 6.706 Å, with angles of 90.00, 90.00 and 90.00 degrees. Symmetry generates all atoms from Cd at (0.000, 0.000, 0.000), Co at (0.500, 0.500, 0.479), Se at (0.000, 0.000, 0.398) and Se at (0.500, 0.500, 0.833).

=====

No. 2
A plane-wave DFT calculation with GGA-PBE was carried out for a relaxed structure of CdCoSe2.

The value obtained for the total energy is -15.5 eV/f.u.

The space group is Cm (No. 8) and the conventional cell measures 12.014, 3.569 and 4.342 Å, with angles of 90.00, 108.91 and 90.00 degrees. Symmetry generates all atoms from Cd at (0.000, 0.000, 0.000), Co at (0.268, 0.500, 0.969), Se at (0.154, 0.000, 0.676) and Se at (0.370, 0.000, 0.283).

=====

No. 3
A plane-wave DFT calculation with GGA-PBE was carried out for a relaxed structure of CdCoSe2.

The value obtained for the total energy is -13.6 eV/f.u.

The space group is Cmmm (No. 65) and the conventional cell measures 5.864, 7.280 and 3.595 Å, with angles of 90.00, 90.00 and 90.00 degrees. Symmetry generates all atoms from Cd at (0.000, 0.000, 0.000), Co at (0.000, 0.500, 0.000) and Se at (0.250, 0.250, 0.500).

=====

No. 4
A plane-wave DFT calculation with GGA-PBE was carried out for a relaxed structure of CdCoSe2.

The value obtained for the total energy is -14.8 eV/f.u.

The space group is P4mm (No. 99) and the conventional cell measures 2.941, 2.941 and 9.005 Å, with angles of 90.00, 90.00 and 90.00 degrees. Symmetry generates all atoms from Cd at (0.000, 0.000, 0.000), Co at (0.500, 0.500, 0.221), Se at (0.000, 0.000, 0.356) and Se at (0.500, 0.500, 0.729).

=====

No. 5
A plane-wave DFT calculation with GGA-PBE was carried out for a relaxed structure of CdCoSe2.

The value obtained for the total energy is -15.6 eV/f.u.

The space group is Immm (No. 71) and the conventional cell measures 3.457, 4.566 and 11.562 Å, with angles of 90.00, 90.00 and 90.00 degrees. Symmetry generates all atoms from Cd at (0.000, 0.000, 0.000), Co at (0.000, 0.000, 0.500) and Se at (0.000, 0.500, 0.141).

=====

No. 6
A plane-wave DFT calculation with GGA-PBE was carried out for a relaxed structure of CdCoSe2.

The value obtained for the total energy is -15.0 eV/f.u.

The space group is R3m (No. 160, hexagonal axes) and the conventional cell measures 3.2447, 3.2447 and 27.6758 Å, with angles of 90.00, 90.00 and 120.00 degrees. Symmetry generates all atoms from Cd at (0.0000, 0.0000, 0.0000), Co at (0.0000, 0.0000, 0.7432), Se at (0.0000, 0.0000, 0.2556) and Se at (0.0000, 0.0000, 0.4563).

=====

No. 7
A plane-wave DFT calculation with GGA-PBE was carried out for a relaxed structure of CdCo4Se8.

The value obtained for the total energy is -60.9 eV/f.u.

The space group is F-43m (No. 216) and the conventional cell measures 10.272, 10.272 and 10.272 Å, with angles of 90.00, 90.00 and 90.00 degrees. Symmetry generates all atoms from Cd at (0.000, 0.000, 0.000), Co at (0.122, 0.122, 0.622), Se at (0.109, 0.109, 0.391) and Se at (0.145, 0.145, 0.855).

=====

No. 8
A plane-wave DFT calculation with GGA-PBE was carried out for a relaxed structure of CdCoSe2.

The value obtained for the total energy is -14.4 eV/f.u.

The space group is Pmmm (No. 47) and the conventional cell measures 2.881, 3.091 and 8.814 Å, with angles of 90.00, 90.00 and 90.00 degrees. Symmetry generates all atoms from Cd at (0.000, 0.000, 0.000), Co at (0.000, 0.000, 0.500) and Se at (0.500, 0.500, 0.332).

=====

No. 9
A plane-wave DFT calculation with GGA-PBE was carried out for a relaxed structure of CdCoSe2.

The value obtained for the total energy is -13.8 eV/f.u.

The space group is R-3m (No. 166, hexagonal axes) and the conventional cell measures 2.9247, 2.9247 and 33.2167 Å, with angles of 90.00, 90.00 and 120.00 degrees. Symmetry generates all atoms from Cd at (0.0000, 0.0000, 0.0000), Co at (0.0000, 0.0000, 0.5000) and Se at (0.0000, 0.0000, 0.4321).

=====

No. 10
A plane-wave DFT calculation with GGA-PBE was carried out for a relaxed structure of CdCo2SiSe.

As for the polymorph energy (0 for the lowest one): 873 meV per atom.

The space group is P4/mmm (No. 123) and the conventional cell measures 4.836, 4.836 and 4.805 Å, with angles of 90.00, 90.00 and 90.00 degrees. Symmetry generates all atoms from Cd at (0.000, 0.000, 0.000), Co at (0.000, 0.500, 0.000), Si at (0.000, 0.000, 0.500) and Se at (0.500, 0.500, 0.500).

=====

No. 11
A plane-wave DFT calculation with GGA-PBE was carried out for a relaxed structure of CdCo2SiSe.

As for the polymorph energy (0 for the lowest one): 0 meV per atom.

The space group is P4/mmm (No. 123) and the conventional cell measures 4.291, 4.291 and 5.060 Å, with angles of 90.00, 90.00 and 90.00 degrees. Symmetry generates all atoms from Cd at (0.000, 0.000, 0.000), Co at (0.000, 0.500, 0.500), Si at (0.500, 0.500, 0.500) and Se at (0.500, 0.500, 0.000).

=====

No. 12
A plane-wave DFT calculation with GGA-PBE was carried out for a relaxed structure of SrCdCo2Se.

The value obtained for the total energy is -18.7 eV/f.u.

The space group is P4/mmm (No. 123) and the conventional cell measures 4.518, 4.518 and 5.512 Å, with angles of 90.00, 90.00 and 90.00 degrees. Symmetry generates all atoms from Sr at (0.000, 0.000, 0.000), Cd at (0.500, 0.500, 0.000), Co at (0.000, 0.500, 0.500) and Se at (0.500, 0.500, 0.500).

=====

Question: What is the formula in the eighth record?
Answer: CdCoSe2

=====

Repeat the fourth record exactly.
A plane-wave DFT calculation with GGA-PBE was carried out for a relaxed structure of CdCoSe2.

The value obtained for the total energy is -14.8 eV/f.u.

The space group is P4mm (No. 99) and the conventional cell measures 2.941, 2.941 and 9.005 Å, with angles of 90.00, 90.00 and 90.00 degrees. Symmetry generates all atoms from Cd at (0.000, 0.000, 0.000), Co at (0.500, 0.500, 0.221), Se at (0.000, 0.000, 0.356) and Se at (0.500, 0.500, 0.729).